Entry from the Alexandria database: a PBEsol-optimized structure of BaSb2 (meta-GGA SCAN).

```
3
Lattice="5.131 0.000 0.000 -2.566 4.444 0.000 0.000 0.000 4.575" Properties=species:S:1:pos:R:3 pbc="T T T"
Ba 0.000 0.000 0.000
Sb 0.000 2.963 2.287
Sb 2.566 1.481 2.287
```

Values from the calculation:
Spin magnetization   0.0 μB/f.u.
E_form (uncorrected)   -2.24 eV/f.u.
DOS at the Fermi energy   0.631 states/eV/atom

***

Entry from the Alexandria database: a PBEsol-optimized structure of MnCo2Mo (meta-GGA SCAN).

```
12
Lattice="2.556 0.000 0.000 -1.278 2.214 0.000 0.000 0.000 24.904" Properties=species:S:1:pos:R:3 pbc="T T T"
Mn 0.000 0.000 0.000
Mn 0.000 1.476 16.603
Mn 1.278 0.738 8.301
Co 0.000 0.000 6.393
Co 0.000 0.000 12.746
Co 0.000 1.476 4.445
Co 0.000 1.476 22.996
Co 1.278 0.738 14.694
Co 1.278 0.738 21.047
Mo 0.000 0.000 18.883
Mo 0.000 1.476 10.582
Mo 1.278 0.738 2.280
```

Values from the calculation:
Spin magnetization   0.8 μB/f.u.
Relative energy among the computed polymorphs   1.05 eV/f.u.
DOS at the Fermi energy   0.970 states/eV/atom

***

Entry from the Alexandria database: a PBEsol-optimized structure of Mg2ZrBr (meta-GGA SCAN).

```
8
Lattice="4.357 0.000 0.000 0.000 4.357 0.000 0.000 0.000 9.068" Properties=species:S:1:pos:R:3 pbc="T T T"
Mg 0.000 0.000 0.000
Mg 0.000 2.179 2.267
Mg 2.179 0.000 6.801
Mg 2.179 2.179 4.534
Zr 0.000 0.000 4.534
Zr 2.179 2.179 0.000
Br 0.000 2.179 6.801
Br 2.179 0.000 2.267
```

Values from the calculation:
Spin magnetization   0.0 μB/f.u.
Relative energy among the computed polymorphs   0.06 eV/f.u.
E_form (uncorrected)   0.40 eV/f.u.
DOS at the Fermi energy   0.503 states/eV/atom

***

Entry from the Alexandria database: a PBEsol-optimized structure of BiIr3C (meta-GGA SCAN).

```
5
Lattice="4.215 0.000 0.000 0.000 4.215 0.000 0.000 0.000 4.215" Properties=species:S:1:pos:R:3 pbc="T T T"
Bi 0.000 0.000 0.000
Ir 0.000 2.107 2.107
Ir 2.107 0.000 2.107
Ir 2.107 2.107 0.000
C 2.107 2.107 2.107
```

Values from the calculation:
Spin magnetization   0.0 μB/f.u.
DOS at the Fermi energy   0.716 states/eV/atom

***

Entry from the Alexandria database: a PBEsol-optimized structure of ZrTa2Tc (meta-GGA SCAN).

```
4
Lattice="2.952 0.000 0.000 0.000 4.520 0.000 -1.162 0.000 5.222" Properties=species:S:1:pos:R:3 pbc="T T T"
Zr 0.000 0.000 0.000
Ta -0.034 2.260 3.846
Ta 1.824 2.260 1.376
Tc 0.895 0.000 2.611
```

Values from the calculation:
Spin magnetization   0.0 μB/f.u.
Relative energy among the computed polymorphs   0.57 eV/f.u.
DOS at the Fermi energy   0.865 states/eV/atom

***

Entry from the Alexandria database: a PBEsol-optimized structure of La3ZrCd (meta-GGA SCAN).

```
5
Lattice="5.787 0.000 0.000 0.000 5.787 0.000 0.000 0.000 5.787" Properties=species:S:1:pos:R:3 pbc="T T T"
La 0.000 0.000 2.894
La 0.000 2.894 0.000
La 2.894 0.000 0.000
Zr 2.894 2.894 2.894
Cd 0.000 0.000 0.000
```

Values from the calculation:
Spin magnetization   4.5 μB/f.u.
DOS at the Fermi energy   1.796 states/eV/atom

***

Entry from the Alexandria database: a PBEsol-optimized structure of CdCu2P2 (meta-GGA SCAN).

```
10
Lattice="3.618 0.000 0.000 0.000 3.618 0.000 0.000 0.000 11.379" Properties=species:S:1:pos:R:3 pbc="T T T"
Cd 0.000 0.000 0.000
Cd 1.809 1.809 5.689
Cu 0.000 0.000 4.466
Cu 0.000 0.000 6.913
Cu 1.809 1.809 1.223
Cu 1.809 1.809 10.155
P 0.000 1.809 2.845
P 0.000 1.809 8.534
P 1.809 0.000 2.845
P 1.809 0.000 8.534
```

Values from the calculation:
Spin magnetization   0.0 μB/f.u.
DOS at the Fermi energy   0.264 states/eV/atom

***

Entry from the Alexandria database: a PBEsol-optimized structure of FeCu2Si (meta-GGA SCAN).

```
4
Lattice="3.419 0.000 0.000 0.000 3.436 0.000 0.000 0.000 3.730" Properties=species:S:1:pos:R:3 pbc="T T T"
Fe 0.000 0.000 0.000
Cu 0.000 1.718 1.865
Cu 1.709 0.000 1.865
Si 1.709 1.718 0.000
```

Values from the calculation:
Spin magnetization   2.2 μB/f.u.
E_form (uncorrected)   -0.35 eV/f.u.
DOS at the Fermi energy   0.354 states/eV/atom

***

Entry from the Alexandria database: a PBEsol-optimized structure of BaTl2Sb (meta-GGA SCAN).

```
8
Lattice="6.777 0.000 0.000 0.000 7.549 0.000 0.000 0.000 5.375" Properties=species:S:1:pos:R:3 pbc="T T T"
Ba 0.000 0.000 0.000
Ba 3.389 3.775 0.000
Tl 0.000 2.153 2.688
Tl 0.000 5.397 2.688
Tl 3.389 1.622 2.688
Tl 3.389 5.927 2.688
Sb 0.000 3.775 0.000
Sb 3.389 0.000 0.000
```

Values from the calculation:
Spin magnetization   0.0 μB/f.u.
Relative energy among the computed polymorphs   0.32 eV/f.u.
E_form (uncorrected)   -2.02 eV/f.u.
DOS at the Fermi energy   0.400 states/eV/atom

***

Entry from the Alexandria database: a PBEsol-optimized structure of Cr2SiP (meta-GGA SCAN).

```
8
Lattice="7.604 0.000 0.000 0.000 2.723 0.000 -0.975 0.000 4.496" Properties=species:S:1:pos:R:3 pbc="T T T"
Cr 1.596 0.000 1.063
Cr 1.231 1.361 3.433
Cr 5.398 1.361 1.063
Cr 5.034 0.000 3.433
Si -0.488 0.000 2.248
Si 3.315 1.361 2.248
P 0.000 1.361 0.000
P 3.802 0.000 0.000
```

Values from the calculation:
Spin magnetization   0.0 μB/f.u.
Relative energy among the computed polymorphs   0.78 eV/f.u.
E_form (uncorrected)   0.19 eV/f.u.
DOS at the Fermi energy   1.079 states/eV/atom

***

Entry from the Alexandria database: a PBEsol-optimized structure of KCd2Br2 (meta-GGA SCAN).

```
10
Lattice="3.991 0.000 0.000 0.000 3.991 0.000 0.000 0.000 17.984" Properties=species:S:1:pos:R:3 pbc="T T T"
K 0.000 0.000 0.000
K 1.995 1.995 8.992
Cd 0.000 1.995 4.496
Cd 0.000 1.995 13.488
Cd 1.995 0.000 4.496
Cd 1.995 0.000 13.488
Br 0.000 0.000 7.144
Br 0.000 0.000 10.840
Br 1.995 1.995 1.848
Br 1.995 1.995 16.136
```

Values from the calculation:
Spin magnetization   0.0 μB/f.u.
E_form (uncorrected)   -4.32 eV/f.u.
DOS at the Fermi energy   0.165 states/eV/atom

***

Entry from the Alexandria database: a PBEsol-optimized structure of Ta9PO25 (meta-GGA SCAN).

```
35
Lattice="-7.809 7.809 1.920 7.809 -7.809 1.920 7.809 7.809 -1.920" Properties=species:S:1:pos:R:3 pbc="T T T"
Ta 0.000 0.000 0.000
Ta 3.445 1.657 -0.030
Ta 10.501 1.812 0.007
Ta 6.152 -4.364 1.950
Ta 1.812 5.118 -0.007
Ta 5.997 2.691 1.912
Ta 1.657 12.173 0.030
Ta -2.691 5.997 1.927
Ta 4.364 6.152 1.889
P 7.809 0.000 0.960
O 11.268 0.153 -0.032
O 1.801 0.844 -0.011
O 8.640 0.997 0.120
O 6.965 -6.008 1.931
O 5.544 2.429 -0.038
O 12.184 2.747 0.068
O 2.747 3.435 -0.068
O 9.580 3.848 0.035
O 0.153 4.350 0.032
O 5.380 -2.265 1.958
O 3.848 6.039 -0.035
O 0.997 6.978 -0.120
O 0.000 0.000 1.920
O 6.812 0.831 1.800
O 3.961 1.771 1.885
O 2.429 10.074 0.038
O 7.656 3.459 1.951
O 5.062 4.375 1.852
O -1.771 3.961 1.955
O 2.265 5.380 1.881
O -4.375 5.062 1.988
O 0.844 13.817 0.011
O 6.008 6.965 1.909
O -0.831 6.812 2.040
O -3.459 7.656 1.888
```

Values from the calculation:
Spin magnetization   0.0 μB/f.u.
E_form (uncorrected)   -105.34 eV/f.u.
DOS at the Fermi energy   0.000 states/eV/atom

***

| no. | electronic total energy (eV/atom) |
| --- | --- |
| 1 | -38.770 |
| 2 | -21.606 |
| 3 | -14.926 |
| 4 | -59.551 |
| 5 | -49.855 |
| 6 | -37.422 |
| 7 | -16.092 |
| 8 | -14.724 |
| 9 | -55.886 |
| 10 | -14.249 |
| 11 | -22.479 |
| 12 | -24.879 |